VASP calculation (PBE-GGA) on a relaxed SmThInSn crystal.

abc: 5.4614 5.4614 5.4614
angles: 60.00 60.00 60.00
Last column: nearest neighbours and their distance in Å.
Fractional positions:
Sm 0.0000 0.0000 0.0000  4 Sn 3.34, 4 In 3.34
Th 0.5000 0.5000 0.5000  4 In 3.34, 4 Sn 3.34
In 0.2500 0.2500 0.2500  4 Th 3.34, 4 Sm 3.34
Sn 0.7500 0.7500 0.7500  4 Th 3.34, 4 Sm 3.34

Properties
The value obtained for the calculated total energy is -5.113 eV per atom. Its space group is F-43m.


VASP calculation (PBE-GGA) on a relaxed SmTlInSn crystal.

abc: 4.6266 4.7317 4.8831
angles: 90.00 90.00 90.00
Last column: nearest neighbours and their distance in Å.
Fractional positions:
Sm 0.0000 0.0000 0.0000  4 Sn 3.31, 4 Tl 3.36, 4 In 3.40
Tl 0.5000 0.0000 0.5000  4 In 3.31, 4 Sm 3.36, 4 Sn 3.40
In 0.0000 0.5000 0.5000  4 Tl 3.31, 4 Sn 3.36, 4 Sm 3.40
Sn 0.5000 0.5000 0.0000  4 Sm 3.31, 4 In 3.36, 4 Tl 3.40

Properties
The value obtained for the calculated total energy is -3.867 eV per atom. Its space group is Pmmm.


VASP calculation (PBE-GGA) on a relaxed SmTmInSn crystal.

abc: 5.3543 5.3543 5.3543
angles: 60.00 60.00 60.00
Last column: nearest neighbours and their distance in Å.
Fractional positions:
Sm 0.0000 0.0000 0.0000  4 In 3.28, 4 Sn 3.28
Tm 0.5000 0.5000 0.5000  4 In 3.28, 4 Sn 3.28
In 0.7500 0.7500 0.7500  4 Tm 3.28, 4 Sm 3.28
Sn 0.2500 0.2500 0.2500  4 Tm 3.28, 4 Sm 3.28

Properties
The value obtained for the calculated total energy is -4.472 eV per atom. Its space group is F-43m.


VASP calculation (PBE-GGA) on a relaxed SmYInSn crystal.

abc: 4.3496 6.2149 6.2149
angles: 43.42 90.00 90.00
Last column: nearest neighbours and their distance in Å.
Fractional positions:
Sm 0.0000 0.0000 0.0000  3 Sn 3.19-3.46, 4 In 3.22
Y 0.5000 0.7266 0.7266  3 In 3.19-3.46, 4 Sn 3.22
In 0.5000 0.4503 0.4503  2 Sn 2.96, 1 Y 3.19, 4 Sm 3.22
Sn 0.0000 0.2764 0.2764  2 In 2.96, 1 Sm 3.19, 4 Y 3.22

Properties
The offset from the most stable computed form is 0.0 meV per atom. The value obtained for the calculated total energy is -5.120 eV per atom. Its space group is Amm2.


VASP calculation (PBE-GGA) on a relaxed SmYInSn crystal.

abc: 5.3871 5.3871 5.3871
angles: 60.00 60.00 60.00
Last column: nearest neighbours and their distance in Å.
Fractional positions:
Sm 0.0000 0.0000 0.0000  4 Sn 3.30, 4 In 3.30
Y 0.5000 0.5000 0.5000  4 Sn 3.30, 4 In 3.30
In 0.2500 0.2500 0.2500  4 Sm 3.30, 4 Y 3.30
Sn 0.7500 0.7500 0.7500  4 Sm 3.30, 4 Y 3.30

Properties
The offset from the most stable computed form is 109.2 meV per atom. The value obtained for the calculated total energy is -5.011 eV per atom. Its space group is F-43m.


VASP calculation (PBE-GGA) on a relaxed SmZnInSn crystal.

abc: 4.5077 4.5530 4.6731
angles: 90.00 90.00 90.00
Last column: nearest neighbours and their distance in Å.
Fractional positions:
Sm 0.0000 0.0000 0.0000  4 Sn 3.20, 4 Zn 3.25, 4 In 3.26
Zn 0.5000 0.0000 0.5000  4 In 3.20, 4 Sm 3.25, 4 Sn 3.26
In 0.0000 0.5000 0.5000  4 Zn 3.20, 4 Sn 3.25, 4 Sm 3.26
Sn 0.5000 0.5000 0.0000  4 Sm 3.20, 4 In 3.25, 4 Zn 3.26

Properties
The value obtained for the calculated total energy is -3.619 eV per atom. Its space group is Pmmm.


VASP calculation (PBE-GGA) on a relaxed Sr5SmIn6 crystal.

abc: 9.8734 9.8734 5.7255
angles: 106.61 106.61 47.73
Last column: nearest neighbours and their distance in Å.
Fractional positions:
Sr 0.0000 0.0000 0.0000  8 In 3.49-3.64
Sr 0.1609 0.1609 0.6610  8 In 3.56-3.59, 4 Sr 3.96-3.99
Sr 0.3208 0.3208 0.3206  8 In 3.41-3.54
Sr 0.6792 0.6792 0.6794  8 In 3.41-3.54
Sr 0.8391 0.8391 0.3390  8 In 3.56-3.59, 4 Sr 3.96-3.99
Sm 0.5000 0.5000 0.0000  8 In 3.30-3.35
In 0.1105 0.5697 0.8400  1 Sm 3.30, 7 Sr 3.41-3.59, 1 In 3.67
In 0.2813 0.7187 0.5000  2 Sm 3.35, 1 In 3.49, 6 Sr 3.54-3.64
In 0.4303 0.8895 0.1600  1 Sm 3.30, 7 Sr 3.41-3.59, 1 In 3.67
In 0.5697 0.1105 0.8400  1 Sm 3.30, 7 Sr 3.41-3.59, 1 In 3.67
In 0.7187 0.2813 0.5000  2 Sm 3.35, 1 In 3.49, 6 Sr 3.54-3.64
In 0.8895 0.4303 0.1600  1 Sm 3.30, 7 Sr 3.41-3.59, 1 In 3.67

Properties
The value obtained for the calculated total energy is -2.897 eV per atom. Its space group is C2/m.


VASP calculation (PBE-GGA) on a relaxed SrSm3In4 crystal.

abc: 10.9955 7.7500 5.4983
angles: 90.00 90.00 90.00
Last column: nearest neighbours and their distance in Å.
Fractional positions:
Sr 0.0000 0.0000 0.0000  8 In 3.40
Sr 0.5000 0.0000 0.0000  8 In 3.40
Sm 0.0000 0.5000 0.0000  8 In 3.33
Sm 0.2500 0.0000 0.4988  8 In 3.40
Sm 0.2500 0.5000 0.4986  8 In 3.33
Sm 0.5000 0.5000 0.0000  8 In 3.33
Sm 0.7500 0.0000 0.5012  8 In 3.40
Sm 0.7500 0.5000 0.5014  8 In 3.33
In 0.0000 0.2576 0.5000  6 Sm 3.33-3.40, 2 Sr 3.40
In 0.0000 0.7424 0.5000  6 Sm 3.33-3.40, 2 Sr 3.40
In 0.2500 0.2576 0.9983  6 Sm 3.33-3.40, 2 Sr 3.40
In 0.2500 0.7424 0.9983  6 Sm 3.33-3.40, 2 Sr 3.40
In 0.5000 0.2576 0.5000  6 Sm 3.33-3.40, 2 Sr 3.40
In 0.5000 0.7424 0.5000  6 Sm 3.33-3.40, 2 Sr 3.40
In 0.7500 0.2576 0.0017  6 Sm 3.33-3.40, 2 Sr 3.40
In 0.7500 0.7424 0.0017  6 Sm 3.33-3.40, 2 Sr 3.40

Properties
The value obtained for the calculated total energy is -3.797 eV per atom. Its space group is Pmma.